[1]
This record from Alexandria describes an optimized crystal structure of ScV3Zn. The functional is PBE.

electronic total energy = -0.43431 Ry per atom
DFT formation energy = 1083 meV per atom
SG = Pm-3m (221)
Fermi-level density of states = 9.65 states/eV/cell
energy relative to the lowest polymorph listed for this composition = 0 meV/atom

abc: 4.6032 4.6032 4.6032
angles: 90.00 90.00 90.00
Last column: nearest neighbours and their distance in Å.
Fractional coordinates of all 5 atoms:
Sc  0.0000  0.0000  0.0000  12 V 3.25
V  0.0000  0.5000  0.5000  2 Zn 2.30
V  0.5000  0.0000  0.5000  2 Zn 2.30
V  0.5000  0.5000  0.0000  2 Zn 2.30
Zn  0.5000  0.5000  0.5000  6 V 2.30

---

[2]
This record from Alexandria describes an optimized crystal structure of ErPuPdPt. The functional is PBE.

electronic total energy = -0.61281 Ry per atom
DFT formation energy = -806 meV per atom
SG = F-43m (216)
Fermi-level density of states = 12.39 states/eV/cell
energy relative to the lowest polymorph listed for this composition = 54 meV/atom

abc: 4.9460 4.9460 4.9460
angles: 60.00 60.00 60.00
Last column: nearest neighbours and their distance in Å.
Fractional coordinates of all 4 atoms:
Er  0.0000  0.0000  0.0000  4 Pd 3.03, 4 Pt 3.03
Pu  0.5000  0.5000  0.5000  4 Pd 3.03, 4 Pt 3.03
Pd  0.7500  0.7500  0.7500  4 Pu 3.03, 4 Er 3.03
Pt  0.2500  0.2500  0.2500  4 Pu 3.03, 4 Er 3.03

---

[3]
This record from Alexandria describes an optimized crystal structure of Sr2TbCd3. The functional is PBE.

electronic total energy = -0.15419 Ry per atom
DFT formation energy = -308 meV per atom
SG = Cmmm (65)
Fermi-level density of states = 10.17 states/eV/cell

abc: 8.8143 8.8143 7.9129
angles: 90.00 90.00 143.11
Last column: nearest neighbours and their distance in Å.
Fractional coordinates of all 12 atoms:
Sr  0.0000  0.0000  0.0000  8 Cd 3.51-3.63, 4 Sr 3.93
Sr  0.0000  0.0000  0.5000  8 Cd 3.34-3.39
Sr  0.3347  0.6653  0.0000  8 Cd 3.48-3.55
Sr  0.6653  0.3347  0.0000  8 Cd 3.48-3.55
Tb  0.3333  0.6667  0.5000  8 Cd 3.21-3.33
Tb  0.6667  0.3333  0.5000  8 Cd 3.21-3.33
Cd  0.1732  0.8268  0.2769  3 Tb 3.21-3.30, 4 Sr 3.39-3.55, 1 Cd 3.53
Cd  0.1732  0.8268  0.7231  3 Tb 3.21-3.30, 4 Sr 3.39-3.55, 1 Cd 3.53
Cd  0.5000  0.5000  0.2688  2 Tb 3.33, 6 Sr 3.34-3.51, 1 Cd 3.66
Cd  0.5000  0.5000  0.7312  2 Tb 3.33, 6 Sr 3.34-3.51, 1 Cd 3.66
Cd  0.8268  0.1732  0.2769  3 Tb 3.21-3.30, 4 Sr 3.39-3.55, 1 Cd 3.53
Cd  0.8268  0.1732  0.7231  3 Tb 3.21-3.30, 4 Sr 3.39-3.55, 1 Cd 3.53

---

Which value of Fermi-level density of states does entry 1 give? 9.65 states/eV/cell

---

Look up the electronic total energy of the first one. -0.43431 Ry per atom